Entry 1:
Entry from Alexandria: KSe2I4 after structural relaxation (PBE).

a = 6.0088 Å, b = 11.1036 Å, c = 11.1579 Å
α = 85.67°, β = 79.20°, γ = 78.34°
Closest atoms and distances in Å follow each position.
Element x y z (fractional)
1 K 0.0000 0.0000 0.0000  6 I 3.51-3.85, 2 Se 3.69-3.77
2 K 0.4084 0.3272 0.4836  5 I 3.47-3.65
3 Se 0.2420 0.2582 0.0955  2 Se 2.35-2.41
4 Se 0.5630 0.2684 0.9322  2 Se 2.35-2.41
5 Se 0.7326 0.4411 0.9362  2 Se 2.35-2.38
6 Se 0.9410 0.4311 0.0993  2 Se 2.35-2.38
7 I 0.0700 0.6092 0.3704  2 I 2.91-2.99
8 I 0.1729 0.1308 0.7064  1 I 3.00
9 I 0.3494 0.7278 0.1619  2 I 2.99
10 I 0.5461 0.9350 0.7842  2 I 2.92-3.00
11 I 0.5607 0.9160 0.2547  2 I 2.90-2.99
12 I 0.8097 0.0905 0.3237  1 I 2.90
13 I 0.8210 0.4781 0.5703  1 I 2.91
14 I 0.9000 0.7435 0.8669  1 I 2.92


Entry 2:
Entry from Alexandria: K2SeI4 after structural relaxation (PBE).

a = 6.1091 Å, b = 6.1091 Å, c = 17.0789 Å
α = 90.00°, β = 90.00°, γ = 90.00°
Closest atoms and distances in Å follow each position.
Element x y z (fractional)
1 K 0.0000 0.0000 0.1256  5 I 3.58-3.73
2 K 0.0000 0.0000 0.8744  5 I 3.58-3.73
3 K 0.5000 0.5000 0.3744  5 I 3.58-3.73
4 K 0.5000 0.5000 0.6256  5 I 3.58-3.73
5 Se 0.0000 0.0000 0.5000  6 I 2.82-3.05
6 Se 0.5000 0.5000 0.0000  6 I 2.82-3.05
7 I 0.0000 0.0000 0.3351  1 Se 2.82
8 I 0.0000 0.0000 0.6649  1 Se 2.82
9 I 0.0000 0.5000 0.0000  2 Se 3.05
10 I 0.0000 0.5000 0.5000  2 Se 3.05
11 I 0.5000 0.0000 0.0000  2 Se 3.05
12 I 0.5000 0.0000 0.5000  2 Se 3.05
13 I 0.5000 0.5000 0.1649  1 Se 2.82
14 I 0.5000 0.5000 0.8351  1 Se 2.82


Entry 3:
Entry from Alexandria: KSe2I after structural relaxation (PBE).

a = 7.7661 Å, b = 7.7661 Å, c = 7.7661 Å
α = 90.00°, β = 90.00°, γ = 90.00°
Closest atoms and distances in Å follow each position.
Element x y z (fractional)
1 K 0.0000 0.0000 0.0000  8 Se 3.36
2 K 0.0000 0.5000 0.5000  8 Se 3.36
3 K 0.5000 0.0000 0.5000  8 Se 3.36
4 K 0.5000 0.5000 0.0000  8 Se 3.36
5 Se 0.2500 0.2500 0.2500  4 K 3.36, 4 I 3.36
6 Se 0.2500 0.2500 0.7500  4 K 3.36, 4 I 3.36
7 Se 0.2500 0.7500 0.2500  4 K 3.36, 4 I 3.36
8 Se 0.2500 0.7500 0.7500  4 K 3.36, 4 I 3.36
9 Se 0.7500 0.2500 0.2500  4 K 3.36, 4 I 3.36
10 Se 0.7500 0.2500 0.7500  4 K 3.36, 4 I 3.36
11 Se 0.7500 0.7500 0.2500  4 K 3.36, 4 I 3.36
12 Se 0.7500 0.7500 0.7500  4 K 3.36, 4 I 3.36
13 I 0.0000 0.0000 0.5000  8 Se 3.36
14 I 0.0000 0.5000 0.0000  8 Se 3.36
15 I 0.5000 0.0000 0.0000  8 Se 3.36
16 I 0.5000 0.5000 0.5000  8 Se 3.36

## Properties
Distance to the lowest polymorph of the same formula (meV/atom): 324


Entry 4:
Entry from Alexandria: KSe2I8 after structural relaxation (PBE).

a = 8.9443 Å, b = 8.9443 Å, c = 8.6432 Å
α = 109.88°, β = 109.88°, γ = 65.63°
Closest atoms and distances in Å follow each position.
Element x y z (fractional)
1 K 0.0000 0.0000 0.0000  6 I 3.58-3.65
2 Se 0.1718 0.1718 0.6756  3 I 2.69-2.76
3 Se 0.8282 0.8282 0.3244  3 I 2.69-2.76
4 I 0.1039 0.6563 0.1963  1 Se 2.69
5 I 0.2113 0.2113 0.3907  1 Se 2.76
6 I 0.3437 0.8961 0.8037  1 Se 2.69
7 I 0.3965 0.3965 0.8957  1 I 2.90, 1 Se 3.14
8 I 0.6035 0.6035 0.1043  1 I 2.90, 1 Se 3.14
9 I 0.6563 0.1039 0.1963  1 Se 2.69
10 I 0.7887 0.7887 0.6093  1 Se 2.76
11 I 0.8961 0.3437 0.8037  1 Se 2.69


Entry 5:
Entry from Alexandria: K6SeI4 after structural relaxation (PBE).

a = 10.0151 Å, b = 10.0151 Å, c = 10.0151 Å
α = 90.00°, β = 90.00°, γ = 90.00°
Closest atoms and distances in Å follow each position.
Element x y z (fractional)
1 K 0.0555 0.9262 0.7050  1 Se 3.10
2 K 0.0738 0.2950 0.9445  1 Se 3.10
3 K 0.2050 0.4262 0.5555  1 Se 3.10
4 K 0.2950 0.9445 0.0738  1 Se 3.10
5 K 0.4262 0.5555 0.2050  1 Se 3.10
6 K 0.4445 0.7950 0.5738  1 Se 3.10
7 K 0.5555 0.2050 0.4262  1 Se 3.10
8 K 0.5738 0.4445 0.7950  1 Se 3.10
9 K 0.7050 0.0555 0.9262  1 Se 3.10
10 K 0.7950 0.5738 0.4445  1 Se 3.10
11 K 0.9262 0.7050 0.0555  1 Se 3.10
12 K 0.9445 0.0738 0.2950  1 Se 3.10
13 Se 0.0000 0.0000 0.0000  6 K 3.10
14 Se 0.5000 0.5000 0.5000  6 K 3.10
15 I 0.1094 0.7500 0.3906  6 K 3.65-3.85
16 I 0.2500 0.2500 0.2500  6 K 3.56
17 I 0.2500 0.6094 0.8906  6 K 3.65-3.85
18 I 0.3906 0.1094 0.7500  6 K 3.65-3.85
19 I 0.6094 0.8906 0.2500  6 K 3.65-3.85
20 I 0.7500 0.3906 0.1094  6 K 3.65-3.85
21 I 0.7500 0.7500 0.7500  6 K 3.56
22 I 0.8906 0.2500 0.6094  6 K 3.65-3.85


Entry 6:
Entry from Alexandria: K2Se2I after structural relaxation (PBE).

a = 8.2534 Å, b = 8.2534 Å, c = 4.7874 Å
α = 90.00°, β = 90.00°, γ = 90.00°
Closest atoms and distances in Å follow each position.
Element x y z (fractional)
1 K 0.1431 0.3569 0.0000  6 Se 3.22-3.54, 1 K 3.34
2 K 0.3569 0.8569 0.0000  6 Se 3.22-3.54, 1 K 3.34
3 K 0.6431 0.1431 0.0000  6 Se 3.22-3.54, 1 K 3.34
4 K 0.8569 0.6431 0.0000  6 Se 3.22-3.54, 1 K 3.34
5 Se 0.1721 0.6721 0.5000  2 I 3.06, 2 K 3.22
6 Se 0.3279 0.1721 0.5000  2 I 3.06, 2 K 3.22
7 Se 0.6721 0.8279 0.5000  2 I 3.06, 2 K 3.22
8 Se 0.8279 0.3279 0.5000  2 I 3.06, 2 K 3.22
9 I 0.0000 0.0000 0.5000  4 Se 3.06
10 I 0.5000 0.5000 0.5000  4 Se 3.06

## Properties
Distance to the lowest polymorph of the same formula (meV/atom): 264


Entry 7:
Entry from Alexandria: K2Se2I after structural relaxation (PBE).

a = 4.1131 Å, b = 4.1131 Å, c = 19.2301 Å
α = 90.00°, β = 90.00°, γ = 90.00°
Closest atoms and distances in Å follow each position.
Element x y z (fractional)
1 K 0.0000 0.0000 0.1104  4 Se 3.38, 4 I 3.60
2 K 0.0000 0.0000 0.8896  4 Se 3.38, 4 I 3.60
3 K 0.5000 0.5000 0.3896  4 Se 3.38, 4 I 3.60
4 K 0.5000 0.5000 0.6104  4 Se 3.38, 4 I 3.60
5 Se 0.0000 0.5000 0.2500  4 Se 2.91
6 Se 0.0000 0.5000 0.7500  4 Se 2.91
7 Se 0.5000 0.0000 0.2500  4 Se 2.91
8 Se 0.5000 0.0000 0.7500  4 Se 2.91
9 I 0.0000 0.0000 0.5000  8 K 3.60
10 I 0.5000 0.5000 0.0000  8 K 3.60

## Properties
Distance to the lowest polymorph of the same formula (meV/atom): 0


Entry 8:
Entry from Alexandria: KSe2I after structural relaxation (PBE).

a = 5.3327 Å, b = 5.3327 Å, c = 17.1996 Å
α = 90.00°, β = 90.00°, γ = 120.00°
Closest atoms and distances in Å follow each position.
Element x y z (fractional)
1 K 0.0000 0.0000 0.0000  2 Se 3.17
2 K 0.3333 0.6667 0.6667  2 Se 3.17
3 K 0.6667 0.3333 0.3333  2 Se 3.17
4 Se 0.0000 0.0000 0.1842  3 I 3.09, 3 Se 3.14, 1 K 3.17
5 Se 0.0000 0.0000 0.8158  3 I 3.09, 3 Se 3.14, 1 K 3.17
6 Se 0.3333 0.6667 0.4825  3 I 3.09, 3 Se 3.14, 1 K 3.17
7 Se 0.3333 0.6667 0.8508  3 I 3.09, 3 Se 3.14, 1 K 3.17
8 Se 0.6667 0.3333 0.1492  3 I 3.09, 3 Se 3.14, 1 K 3.17
9 Se 0.6667 0.3333 0.5175  3 I 3.09, 3 Se 3.14, 1 K 3.17
10 I 0.0000 0.0000 0.5000  6 Se 3.09
11 I 0.3333 0.6667 0.1667  6 Se 3.09
12 I 0.6667 0.3333 0.8333  6 Se 3.09

## Properties
Distance to the lowest polymorph of the same formula (meV/atom): 0


| no. | E (eV/atom) | volume (Å³/atom) | formation energy (no corrections) (meV/atom) |
| --- | --- | --- | --- |
| 1 | -2.4364 | 51.1 | -398.3 |
| 2 | -2.4466 | 45.5 | -749.5 |
| 3 | -2.2564 | 29.3 | 147.7 |
| 4 | -2.0393 | 52.4 | -178.6 |
| 5 | -2.8069 | 45.7 | -1327.9 |
| 6 | -2.7946 | 32.6 | -651.7 |
| 7 | -3.0584 | 32.5 | -915.5 |
| 8 | -2.5804 | 35.3 | -176.2 |